# 1
Here is an optimized crystal structure of BaVPb2Cl8 from Alexandria. Energies are from PBE.

Values from the calculation:
* M_tot: 3.0 μB/f.u.
* total energy: -4.212 eV/atom
* raw formation energy: -1.44 eV per atom

Unit cell a=6.497 b=8.702 c=6.602 alpha=90.00 beta=90.53 gamma=90.00
Space group P2/m (No. 10)
Inequivalent atoms, fractional coordinates:
Ba: 0.000 0.000 0.000 [1 per cell]
V: 0.000 0.500 0.000 [1 per cell]
Pb: 0.500 0.271 0.500 [2 per cell]
Cl: 0.224 0.293 0.148 [4 per cell]
Cl: 0.228 0.500 0.690 [2 per cell]
Cl: 0.269 0.000 0.625 [2 per cell]

---

# 2
Here is an optimized crystal structure of BaYPb2Cl from Alexandria. Energies are from PBE.

Values from the calculation:
* M_tot: 0.0 μB/f.u.
* Fermi-level density of states: 7.638 states/eV/f.u.
* total energy: -2.725 eV/atom
* raw formation energy: 0.80 eV per atom

Unit cell a=6.176 b=6.176 c=6.272 alpha=90.00 beta=90.00 gamma=90.00
Space group P4/mmm (No. 123)
Inequivalent atoms, fractional coordinates:
Ba: 0.000 0.000 0.000 [1 per cell]
Y: 0.000 0.000 0.500 [1 per cell]
Pb: 0.000 0.500 0.000 [2 per cell]
Cl: 0.500 0.500 0.500 [1 per cell]

---

# 3
Here is an optimized crystal structure of BaPd4Cl12 from Alexandria. Energies are from PBE.

Values from the calculation:
* M_tot: 0.0 μB/f.u.
* Fermi-level density of states: 11.001 states/eV/f.u.
* total energy: -3.388 eV/atom
* raw formation energy: -0.75 eV per atom

Unit cell a=9.439 b=9.439 c=9.439 alpha=90.00 beta=90.00 gamma=90.00
Space group Im-3 (No. 204)
Inequivalent atoms, fractional coordinates:
Ba: 0.000 0.000 0.000 [2 per cell]
Pd: 0.250 0.250 0.250 [8 per cell]
Cl: 0.000 0.293 0.192 [24 per cell]